Below is a relaxed Na2IrN crystal, with properties calculated at the PBE level.

Cell: 10.171 10.171 7.430 Å, 46.81 46.81 90.00°
Atoms (fractional coordinates):
Na: 0.399 0.125 0.250
Na: 0.351 0.625 0.250
Na: 0.375 0.601 0.750
Na: 0.875 0.649 0.750
Ir: 0.000 0.000 0.000
Ir: 0.750 0.250 0.500
N: 0.500 0.500 0.000
N: 0.250 0.750 0.500

D(E_F), states/eV/f.u.: 1.33
Total magnetic moment, μB/cell: 0.00
SG: I-42d, No. 122
Formation energy (no corrections), eV per atom: -0.0766
E above lowest polymorph, meV/atom: 47.4